Material: MnTe2Pb
Method: DFT, GGA-PBEsol
State: relaxed

a = 3.337 Å, b = 3.337 Å, c = 11.279 Å
α = 81.49°, β = 81.49°, γ = 60.00°
Sites, in units of the cell vectors:
Pb 0.500 0.500 0.500
Te 0.078 0.078 0.766
Te 0.922 0.922 0.234
Mn 0.000 0.000 0.000

Summary:
Energy relative to the elements, uncorrected   0.454 eV/atom
Size of the total moment   4.1 μB per cell